The following is a DFT calculation (PBEsol) of a relaxed Li6MgBr8 crystal.

abc: 10.8310 10.8310 10.8310
angles: 90.00 90.00 90.00
Space group Fm-3m (No. 225)
Unique sites:
1 Li 0.0000 0.2500 0.2500
2 Mg 0.0000 0.0000 0.0000
3 Br 0.0000 0.0000 0.2453
4 Br 0.2500 0.2500 0.2500

Summary:
- E_form (uncorrected) (eV/f.u.) = -23.088
- density of states at the Fermi level (states/eV per atom) = 0.00
- magnetization (μB/atom) = 0.00

The following is a DFT calculation (PBEsol) of a relaxed Li3MgBr crystal.

abc: 4.9186 4.9186 4.9186
angles: 90.00 90.00 90.00
Space group Pm-3m (No. 221)
Unique sites:
1 Li 0.0000 0.0000 0.5000
2 Mg 0.5000 0.5000 0.5000
3 Br 0.0000 0.0000 0.0000

Summary:
- E_form (uncorrected) (eV/f.u.) = -1.856
- density of states at the Fermi level (states/eV per atom) = 0.51
- magnetization (μB/atom) = 0.00

The following is a DFT calculation (PBEsol) of a relaxed Li2MgBr4 crystal.

abc: 7.6815 10.8806 3.8170
angles: 90.00 90.00 90.00
Space group Cmmm (No. 65)
Unique sites:
1 Li 0.2500 0.2500 0.0000
2 Mg 0.0000 0.0000 0.5000
3 Br 0.0000 0.2441 0.5000
4 Br 0.2419 0.0000 0.0000

Summary:
- E_form (uncorrected) (eV/f.u.) = -10.683
- energy relative to the lowest polymorph listed for this composition (meV per atom) = 0.0
- density of states at the Fermi level (states/eV per atom) = 0.00
- magnetization (μB/atom) = 0.00

The following is a DFT calculation (PBEsol) of a relaxed Li2MgBr4 crystal.

abc: 7.7864 7.7903 10.4225
angles: 90.00 90.00 90.00
Space group Imma (No. 74)
Unique sites:
1 Li 0.0000 0.0000 0.0000
2 Li 0.2500 0.2500 0.2500
3 Mg 0.2500 0.2500 0.7500
4 Br 0.0000 0.0070 0.7430
5 Br 0.2360 0.2500 0.9988

Summary:
- E_form (uncorrected) (eV/f.u.) = -10.317
- energy relative to the lowest polymorph listed for this composition (meV per atom) = 52.4
- density of states at the Fermi level (states/eV per atom) = 0.00
- magnetization (μB/atom) = 0.00

The following is a DFT calculation (PBEsol) of a relaxed LiMg3Br crystal.

abc: 5.3124 5.3124 5.3124
angles: 90.00 90.00 90.00
Space group Pm-3m (No. 221)
Unique sites:
1 Li 0.0000 0.0000 0.0000
2 Mg 0.0000 0.5000 0.5000
3 Br 0.5000 0.5000 0.5000

Summary:
- E_form (uncorrected) (eV/f.u.) = 1.355
- density of states at the Fermi level (states/eV per atom) = 0.42
- magnetization (μB/atom) = 0.00

The following is a DFT calculation (PBEsol) of a relaxed Li2MgBr crystal.

abc: 5.9943 8.4663 3.3290
angles: 90.00 90.00 90.00
Space group Cmmm (No. 65)
Unique sites:
1 Li 0.2500 0.2500 0.0000
2 Mg 0.0000 0.0000 0.5000
3 Br 0.0000 0.5000 0.5000

Summary:
- E_form (uncorrected) (eV/f.u.) = -1.758
- energy relative to the lowest polymorph listed for this composition (meV per atom) = 192.8
- density of states at the Fermi level (states/eV per atom) = 0.32
- magnetization (μB/atom) = 0.00

The following is a DFT calculation (PBEsol) of a relaxed LiMgBr2 crystal.

abc: 6.3282 6.3282 11.9258
angles: 90.00 90.00 90.00
Space group I-42d (No. 122)
Unique sites:
1 Li 0.0000 0.0000 0.0000
2 Mg 0.0000 0.0000 0.5000
3 Br 0.2140 0.2500 0.1250

Summary:
- E_form (uncorrected) (eV/f.u.) = -3.782
- energy relative to the lowest polymorph listed for this composition (meV per atom) = 0.0
- density of states at the Fermi level (states/eV per atom) = 0.40
- magnetization (μB/atom) = 0.00

The following is a DFT calculation (PBEsol) of a relaxed LiMgBr2 crystal.

abc: 3.7068 6.6834 7.9401
angles: 90.00 90.00 90.00
Space group Cmmm (No. 65)
Unique sites:
1 Li 0.0000 0.0000 0.0000
2 Mg 0.0000 0.0000 0.5000
3 Br 0.0000 0.5000 0.2253

Summary:
- E_form (uncorrected) (eV/f.u.) = -3.697
- energy relative to the lowest polymorph listed for this composition (meV per atom) = 21.4
- density of states at the Fermi level (states/eV per atom) = 0.40
- magnetization (μB/atom) = 0.14

The following is a DFT calculation (PBEsol) of a relaxed Li2MgBr crystal.

abc: 3.7466 4.0575 5.8273
angles: 90.00 90.00 90.00
Space group Pmmm (No. 47)
Unique sites:
1 Li 0.0000 0.0000 0.0000
2 Li 0.5000 0.0000 0.5000
3 Mg 0.0000 0.5000 0.5000
4 Br 0.5000 0.5000 0.0000

Summary:
- E_form (uncorrected) (eV/f.u.) = -1.746
- energy relative to the lowest polymorph listed for this composition (meV per atom) = 195.7
- density of states at the Fermi level (states/eV per atom) = 0.26
- magnetization (μB/atom) = 0.00

The following is a DFT calculation (PBEsol) of a relaxed Li2MgBr crystal.

abc: 6.0331 3.4794 8.6859
angles: 90.00 103.27 90.00
Space group C2/m (No. 12)
Unique sites:
1 Li 0.2305 0.0000 0.1942
2 Mg 0.0000 0.0000 0.5000
3 Br 0.0000 0.5000 0.0000

Summary:
- E_form (uncorrected) (eV/f.u.) = -2.529
- energy relative to the lowest polymorph listed for this composition (meV per atom) = 0.0
- density of states at the Fermi level (states/eV per atom) = 0.29
- magnetization (μB/atom) = 0.00

The following is a DFT calculation (PBEsol) of a relaxed Li2MgBr crystal.

abc: 3.7056 3.6320 6.4924
angles: 90.00 103.78 90.00
Space group P2/m (No. 10)
Unique sites:
1 Li 0.1181 0.0000 0.2455
2 Mg 0.5000 0.5000 0.0000
3 Br 0.5000 0.5000 0.5000

Summary:
- E_form (uncorrected) (eV/f.u.) = -2.285
- energy relative to the lowest polymorph listed for this composition (meV per atom) = 61.0
- density of states at the Fermi level (states/eV per atom) = 0.24
- magnetization (μB/atom) = 0.00

The following is a DFT calculation (PBEsol) of a relaxed Li2MgMoBr crystal.

abc: 5.0105 5.0105 5.0598
angles: 90.00 90.00 90.00
Space group P4/mmm (No. 123)
Unique sites:
1 Li 0.0000 0.5000 0.0000
2 Mg 0.0000 0.0000 0.0000
3 Mo 0.0000 0.0000 0.5000
4 Br 0.5000 0.5000 0.5000

Summary:
- E_form (uncorrected) (eV/f.u.) = 5.037
- density of states at the Fermi level (states/eV per atom) = 0.62
- magnetization (μB/atom) = 0.62

The following is a DFT calculation (PBEsol) of a relaxed Li2MnBr crystal.

abc: 6.7691 6.7691 6.7691
angles: 90.00 90.00 90.00
Space group Fm-3m (No. 225)
Unique sites:
1 Li 0.2500 0.2500 0.2500
2 Mn 0.0000 0.0000 0.0000
3 Br 0.0000 0.0000 0.5000

Summary:
- E_form (uncorrected) (eV/f.u.) = 0.895
- density of states at the Fermi level (states/eV per atom) = 0.66
- magnetization (μB/atom) = 1.07

The following is a DFT calculation (PBEsol) of a relaxed LiMnBr3 crystal.

abc: 4.8718 4.8718 4.8718
angles: 90.00 90.00 90.00
Space group Pm-3m (No. 221)
Unique sites:
1 Li 0.0000 0.0000 0.0000
2 Mn 0.5000 0.5000 0.5000
3 Br 0.0000 0.0000 0.5000

Summary:
- E_form (uncorrected) (eV/f.u.) = -1.508
- density of states at the Fermi level (states/eV per atom) = 0.33
- magnetization (μB/atom) = 1.00

The following is a DFT calculation (PBEsol) of a relaxed LiMnBr crystal.

abc: 4.2482 4.2482 3.4186
angles: 90.00 90.00 120.00
Space group P-6m2 (No. 187)
Unique sites:
1 Li 0.0000 0.0000 0.0000
2 Mn 0.3333 0.6667 0.5000
3 Br 0.6667 0.3333 0.5000

Summary:
- E_form (uncorrected) (eV/f.u.) = 0.506
- density of states at the Fermi level (states/eV per atom) = 0.58
- magnetization (μB/atom) = 1.10

The following is a DFT calculation (PBEsol) of a relaxed Li2MnBr4 crystal.

abc: 5.3910 5.3910 10.8271
angles: 90.00 90.00 90.00
Space group I4/mmm (No. 139)
Unique sites:
1 Li 0.0000 0.5000 0.2500
2 Mn 0.0000 0.0000 0.0000
3 Br 0.0000 0.0000 0.2391
4 Br 0.0000 0.5000 0.0000

Summary:
- E_form (uncorrected) (eV/f.u.) = -7.957
- energy relative to the lowest polymorph listed for this composition (meV per atom) = 37.6
- magnetization (μB/atom) = 0.71

The following is a DFT calculation (PBEsol) of a relaxed Li2MnBr4 crystal.

abc: 7.7380 7.7861 10.4158
angles: 90.00 90.00 90.00
Space group Imma (No. 74)
Unique sites:
1 Li 0.0000 0.0000 0.0000
2 Li 0.2500 0.2500 0.2500
3 Mn 0.0000 0.0000 0.5000
4 Br 0.0000 0.0128 0.2545
5 Br 0.2446 0.2500 0.5068

Summary:
- E_form (uncorrected) (eV/f.u.) = -7.888
- energy relative to the lowest polymorph listed for this composition (meV per atom) = 47.5
- magnetization (μB/atom) = 0.71

The following is a DFT calculation (PBEsol) of a relaxed Li2MnBr4 crystal.

abc: 7.6741 10.8829 3.8101
angles: 90.00 90.00 90.00
Space group Cmmm (No. 65)
Unique sites:
1 Li 0.2500 0.2500 0.0000
2 Mn 0.0000 0.0000 0.5000
3 Br 0.0000 0.2437 0.5000
4 Br 0.2412 0.0000 0.0000

Summary:
- E_form (uncorrected) (eV/f.u.) = -8.221
- energy relative to the lowest polymorph listed for this composition (meV per atom) = 0.0
- magnetization (μB/atom) = 0.71

The following is a DFT calculation (PBEsol) of a relaxed LiMnBrO2 crystal.

abc: 3.6766 3.6766 5.0969
angles: 90.00 90.00 90.00
Space group P4/mmm (No. 123)
Unique sites:
1 Li 0.0000 0.0000 0.0000
2 Mn 0.0000 0.0000 0.5000
3 Br 0.5000 0.5000 0.5000
4 O 0.0000 0.5000 0.0000

Summary:
- E_form (uncorrected) (eV/f.u.) = 0.457
- density of states at the Fermi level (states/eV per atom) = 0.44
- magnetization (μB/atom) = 1.39

The following is a DFT calculation (PBEsol) of a relaxed LiMoPtBr2 crystal.

abc: 5.0626 5.0626 4.8492
angles: 90.00 90.00 90.00
Space group P4/mmm (No. 123)
Unique sites:
1 Li 0.0000 0.0000 0.0000
2 Mo 0.5000 0.5000 0.5000
3 Pt 0.5000 0.5000 0.0000
4 Br 0.0000 0.5000 0.5000

Summary:
- E_form (uncorrected) (eV/f.u.) = 0.967
- density of states at the Fermi level (states/eV per atom) = 0.64
- magnetization (μB/atom) = 0.25

The following is a DFT calculation (PBEsol) of a relaxed LiMoSeBr2 crystal.

abc: 4.6351 4.6351 4.9295
angles: 90.00 90.00 90.00
Space group P4/mmm (No. 123)
Unique sites:
1 Li 0.0000 0.0000 0.0000
2 Mo 0.5000 0.5000 0.5000
3 Se 0.0000 0.0000 0.5000
4 Br 0.0000 0.5000 0.0000

Summary:
- E_form (uncorrected) (eV/f.u.) = 2.107
- density of states at the Fermi level (states/eV per atom) = 0.88
- magnetization (μB/atom) = 0.60

The following is a DFT calculation (PBEsol) of a relaxed Li3BrN crystal.

abc: 4.5524 4.5524 4.5524
angles: 90.00 90.00 90.00
Space group Pm-3m (No. 221)
Unique sites:
1 Li 0.0000 0.0000 0.5000
2 Br 0.0000 0.0000 0.0000
3 N 0.5000 0.5000 0.5000

Summary:
- E_form (uncorrected) (eV/f.u.) = 1.157
- density of states at the Fermi level (states/eV per atom) = 0.36
- magnetization (μB/atom) = 0.20

The following is a DFT calculation (PBEsol) of a relaxed Li6Br3N crystal.

abc: 8.2717 7.8365 6.6704
angles: 90.00 123.60 90.00
Space group C2/m (No. 12)
Unique sites:
1 Li 0.1443 0.1789 0.2245
2 Li 0.1446 0.0000 0.8538
3 Br 0.0000 0.2365 0.5000
4 Br 0.0000 0.5000 0.0000
5 N 0.0000 0.0000 0.0000

Summary:
- E_form (uncorrected) (eV/f.u.) = -10.887
- energy relative to the lowest polymorph listed for this composition (meV per atom) = 16.1
- density of states at the Fermi level (states/eV per atom) = 0.00
- magnetization (μB/atom) = 0.01